<a>
A relaxed AgSe3O crystal. Source: the Alexandria database, functional PBE.

Computed properties:
space-group type	Pm-3m

Cell: 5.0321 5.0321 5.0321 Å, 90.00 90.00 90.00°
With the nearest neighbours (Å) after each atom.
Sites, in units of the cell vectors:
Ag 0.0000 0.0000 0.0000  6 Se 2.52
Se 0.0000 0.0000 0.5000  2 Ag 2.52
Se 0.0000 0.5000 0.0000  2 Ag 2.52
Se 0.5000 0.0000 0.0000  2 Ag 2.52
O 0.5000 0.5000 0.5000  12 Se 3.56

=====

<b>
A relaxed AgSe3O crystal. Source: the Alexandria database, functional PBE.

Computed properties:
space-group type	Pm-3m

Cell: 4.5518 4.5518 4.5518 Å, 90.00 90.00 90.00°
With the nearest neighbours (Å) after each atom.
Sites, in units of the cell vectors:
Ag 0.0000 0.0000 0.0000  12 Se 3.22
Se 0.0000 0.5000 0.5000  2 O 2.28
Se 0.5000 0.0000 0.5000  2 O 2.28
Se 0.5000 0.5000 0.0000  2 O 2.28
O 0.5000 0.5000 0.5000  6 Se 2.28

=====

Most stable to least stable: <b>, <a>